An optimized crystal structure of YTm2Zn, computed with PBE-GGA.

Properties
The value obtained for the energy above the most stable polymorph in this dataset is 0.142 eV per atom. The value obtained for the calculated volume is 104.6 Å³/cell. As for the uncorrected energy: -4.20 eV per atom. The crystal system is tetragonal. The energy of formation from the pure elements is -0.027 eV/atom.

abc: 4.7054 4.7054 4.7233
angles: 90.00 90.00 90.00
Closest atoms and distances in Å follow each position.
Space group P4/mmm (No. 123)
Inequivalent atoms, fractional coordinates:
Y (0.0000, 0.0000, 0.0000)  4 Zn 3.33, 8 Tm 3.33
Tm (0.0000, 0.5000, 0.5000)  4 Tm 3.33, 4 Zn 3.33, 4 Y 3.33
Zn (0.5000, 0.5000, 0.0000)  4 Y 3.33, 8 Tm 3.33